1.
An optimized crystal structure of Er3ZrSc2. Source: Alexandria via LeMat-Bulk, functional PBE-GGA.

The size of the total moment is 0.0 Bohr magnetons per cell. The crystal system is monoclinic.

The space group is C2/m (No. 12) and the conventional cell measures 16.5996, 3.2795 and 13.5140 Å, with angles of 90.00, 116.30 and 90.00 degrees. The asymmetric unit holds Er at (0.0337, 0.0000, 0.2218), Er at (0.1033, 0.5000, 0.0250), Er at (0.2463, 0.5000, 0.3020), Zr at (0.0659, 0.5000, 0.6437), Sc at (0.1502, 0.5000, 0.4688) and Sc at (0.1790, 0.0000, 0.8714).

2.
An optimized crystal structure of Er3ZrSc2. Source: Alexandria via LeMat-Bulk, functional PBE-GGA.

The size of the total moment is 0.5 Bohr magnetons per cell. The crystal system is monoclinic.

The space group is C2/m (No. 12) and the conventional cell measures 22.1629, 3.3417 and 9.1550 Å, with angles of 90.00, 106.59 and 90.00 degrees. The asymmetric unit holds Er at (0.0512, 0.0000, 0.2916), Er at (0.0778, 0.5000, 0.9737), Er at (0.1844, 0.5000, 0.5113), Zr at (0.1830, 0.0000, 0.8429), Sc at (0.0654, 0.5000, 0.6225) and Sc at (0.1986, 0.0000, 0.1957).

What should be chosen as the least stable of them? Choose 1.

1.
An optimized crystal structure of ErZr2Sc. Source: Alexandria via LeMat-Bulk, functional PBE-GGA.

The size of the total moment is 0.0 Bohr magnetons per cell. The crystal system is orthorhombic.

The space group is Pmma (No. 51) and the conventional cell measures 4.6732, 4.5820 and 9.3613 Å, with angles of 90.00, 90.00 and 90.00 degrees. The asymmetric unit holds Er at (0.2500, 0.0000, 0.1361), Zr at (0.2500, 0.0000, 0.6204), Zr at (0.2500, 0.5000, 0.3839) and Sc at (0.2500, 0.5000, 0.8572).

2.
An optimized crystal structure of ErZr2Sc. Source: Alexandria via LeMat-Bulk, functional PBE-GGA.

The size of the total moment is 0.0 Bohr magnetons per cell. The crystal system is trigonal.

The space group is R-3m (No. 166, hexagonal axes) and the conventional cell measures 3.2570, 3.2570 and 32.3484 Å, with angles of 90.00, 90.00 and 120.00 degrees. The asymmetric unit holds Er at (0.0000, 0.0000, 0.0000), Zr at (0.0000, 0.0000, 0.2481) and Sc at (0.0000, 0.0000, 0.5000).

3.
An optimized crystal structure of ErZr2Sc. Source: Alexandria via LeMat-Bulk, functional PBE-GGA.

The size of the total moment is 0.0 Bohr magnetons per cell. The crystal system is trigonal.

The space group is R3m (No. 160, hexagonal axes) and the conventional cell measures 3.2899, 3.2899 and 31.8353 Å, with angles of 90.00, 90.00 and 120.00 degrees. The asymmetric unit holds Er at (0.0000, 0.0000, 0.0000), Zr at (0.0000, 0.0000, 0.2479), Zr at (0.0000, 0.0000, 0.4182) and Sc at (0.0000, 0.0000, 0.8332).

What should be chosen as the least stable of them? Choose 2.

1.
An optimized crystal structure of ErZr2Sc. Source: Alexandria via LeMat-Bulk, functional PBE-GGA.

The size of the total moment is 0.0 Bohr magnetons per cell. The crystal system is tetragonal.

The space group is P4mm (No. 99) and the conventional cell measures 3.2687, 3.2687 and 9.3671 Å, with angles of 90.00, 90.00 and 90.00 degrees. The asymmetric unit holds Er at (0.0000, 0.0000, 0.0000), Zr at (0.0000, 0.0000, 0.5107), Zr at (0.5000, 0.5000, 0.7483) and Sc at (0.5000, 0.5000, 0.2779).

2.
An optimized crystal structure of ErZr2Sc. Source: Alexandria via LeMat-Bulk, functional PBE-GGA.

The size of the total moment is 0.0 Bohr magnetons per cell. The crystal system is tetragonal.

The space group is P4/mmm (No. 123) and the conventional cell measures 4.6050, 4.6050 and 4.6669 Å, with angles of 90.00, 90.00 and 90.00 degrees. The asymmetric unit holds Er at (0.0000, 0.0000, 0.0000), Zr at (0.0000, 0.5000, 0.5000) and Sc at (0.5000, 0.5000, 0.0000).

What should be chosen as the least stable of them? Choose 2.

1.
An optimized crystal structure of Er2ZrSc2. Source: Alexandria via LeMat-Bulk, functional PBE-GGA.

The size of the total moment is 0.0 Bohr magnetons per cell. The crystal system is monoclinic.

The space group is C2/m (No. 12) and the conventional cell measures 6.3594, 9.8688 and 9.0505 Å, with angles of 90.00, 108.90 and 90.00 degrees. The asymmetric unit holds Er at (0.0914, 0.0000, 0.3588), Er at (0.2408, 0.5000, 0.9454), Zr at (0.0000, 0.2992, 0.5000) and Sc at (0.1534, 0.2959, 0.1947).

2.
An optimized crystal structure of Er2ZrSc2. Source: Alexandria via LeMat-Bulk, functional PBE-GGA.

The size of the total moment is 0.0 Bohr magnetons per cell. The crystal system is monoclinic.

The space group is P2_1/c (No. 14) and the conventional cell measures 8.3652, 8.8864 and 8.1991 Å, with angles of 90.00, 118.84 and 90.00 degrees. The asymmetric unit holds Er at (0.0001, 0.1689, 0.0023), Er at (0.3212, 0.1925, 0.4474), Zr at (0.2726, 0.6594, 0.9466), Sc at (0.1319, 0.5142, 0.2163) and Sc at (0.4246, 0.5253, 0.6647).

What should be chosen as the least stable of them? Choose 1.

1.
An optimized crystal structure of Er2ZrSc5. Source: Alexandria via LeMat-Bulk, functional PBE-GGA.

The size of the total moment is 0.0 Bohr magnetons per cell. The crystal system is orthorhombic.

The space group is Pbam (No. 55) and the conventional cell measures 6.6226, 13.2544 and 4.6597 Å, with angles of 90.00, 90.00 and 90.00 degrees. The asymmetric unit holds Er at (0.2465, 0.1225, 0.0000), Zr at (0.0000, 0.0000, 0.5000), Sc at (0.0000, 0.5000, 0.5000), Sc at (0.0011, 0.2458, 0.5000) and Sc at (0.2432, 0.8787, 0.0000).

2.
An optimized crystal structure of Er2ZrSc5. Source: Alexandria via LeMat-Bulk, functional PBE-GGA.

The size of the total moment is 0.0 Bohr magnetons per cell. The crystal system is orthorhombic.

The space group is Fmm2 (No. 42) and the conventional cell measures 6.7325, 10.4575 and 11.6787 Å, with angles of 90.00, 90.00 and 90.00 degrees. The asymmetric unit holds Er at (0.0000, 0.2475, 0.0000), Zr at (0.0000, 0.0000, 0.1677), Sc at (0.0000, 0.0000, 0.6688), Sc at (0.2494, 0.0000, 0.9115) and Sc at (0.2500, 0.2500, 0.2492).

What should be chosen as the least stable of them? Choose 1.

1.
An optimized crystal structure of ErZr3Sc3. Source: Alexandria via LeMat-Bulk, functional PBE-GGA.

The size of the total moment is 0.0 Bohr magnetons per cell. The crystal system is monoclinic.

The space group is C2/m (No. 12) and the conventional cell measures 10.8473, 5.0233 and 12.8070 Å, with angles of 90.00, 97.46 and 90.00 degrees. The asymmetric unit holds Er at (0.1466, 0.0000, 0.0134), Zr at (0.0128, 0.0000, 0.2315), Zr at (0.0928, 0.5000, 0.8435), Zr at (0.2110, 0.5000, 0.1940), Sc at (0.0735, 0.5000, 0.3927), Sc at (0.1236, 0.0000, 0.5660) and Sc at (0.2414, 0.5000, 0.6415).

2.
An optimized crystal structure of ErZr3Sc3. Source: Alexandria via LeMat-Bulk, functional PBE-GGA.

The size of the total moment is 0.0 Bohr magnetons per cell. The crystal system is hexagonal.

The space group is P6_3/m (No. 176) and the conventional cell measures 8.7497, 8.7497 and 5.2142 Å, with angles of 90.00, 90.00 and 120.00 degrees. The asymmetric unit holds Er at (0.3333, 0.6667, 0.2500), Zr at (0.0410, 0.8131, 0.2500) and Sc at (0.0876, 0.6273, 0.7500).

What should be chosen as the least stable of them? Choose 1.